PBE-GGA LaTlCo2, relaxed; energy above the lowest structure with this stoichiometry = 0.85 eV per formula unit; raw total energy = -5.182 eV/atom; space-group type = Fm-3m; calculated formation energy = 0.19 eV/atom; D(E_F) = 2.3 states/eV/cell
1.0
0.000 3.333 3.333
3.333 0.000 3.333
3.333 3.333 0.000
La Tl Co
1 1 2
Cartesian
0.000 0.000 0.000
3.333 3.333 3.333
1.667 1.667 1.667
5.000 5.000 5.000